# 1
Compound: ErInIrO6
Source: Alexandria
Functional: GGA-PBE
Structure: optimized geometry

Results
raw formation energy: -1.605 eV/atom

Cell lengths 5.442, 5.442, 9.057 Å; angles 90.00, 90.00, 120.00 degrees
Sites, in units of the cell vectors:
Er 0.333 0.667 0.250
Er 0.667 0.333 0.750
In 0.000 0.000 0.000
In 0.000 0.000 0.500
Ir 0.333 0.667 0.750
Ir 0.667 0.333 0.250
O 0.037 0.366 0.629
O 0.037 0.671 0.871
O 0.329 0.366 0.871
O 0.329 0.963 0.629
O 0.366 0.037 0.129
O 0.366 0.329 0.371
O 0.634 0.671 0.629
O 0.634 0.963 0.871
O 0.671 0.037 0.371
O 0.671 0.634 0.129
O 0.963 0.329 0.129
O 0.963 0.634 0.371

***

# 2
Compound: Dy4ErIn5
Source: Alexandria
Functional: GGA-PBE
Structure: optimized geometry

Results
formation energy from the elements: -0.4604 eV per atom

Cell lengths 3.734, 3.734, 18.985 Å; angles 90.00, 90.00, 90.00 degrees
Sites, in units of the cell vectors:
Dy 0.000 0.000 0.100
Dy 0.000 0.000 0.301
Dy 0.000 0.000 0.699
Dy 0.000 0.000 0.900
Er 0.000 0.000 0.500
In 0.500 0.500 0.000
In 0.500 0.500 0.201
In 0.500 0.500 0.402
In 0.500 0.500 0.598
In 0.500 0.500 0.799

***

# 3
Compound: BaSbI2N
Source: Alexandria
Functional: GGA-PBE
Structure: optimized geometry

Results
raw formation energy: -0.214 eV/atom

Cell lengths 6.467, 6.467, 4.120 Å; angles 90.00, 90.00, 90.00 degrees
Sites, in units of the cell vectors:
Ba 0.000 0.000 0.000
Sb 0.500 0.500 0.500
I 0.000 0.500 0.500
I 0.500 0.000 0.500
N 0.500 0.500 0.000

***

# 4
Compound: Sm2InNi4Sb3
Source: Alexandria
Functional: GGA-PBE
Structure: optimized geometry

Results
raw formation energy: -0.599 eV/atom

Cell lengths 4.342, 4.342, 10.437 Å; angles 90.00, 90.00, 90.00 degrees
Sites, in units of the cell vectors:
Sm 0.000 0.500 0.237
Sm 0.500 0.000 0.763
In 0.000 0.000 0.500
Ni 0.000 0.000 0.000
Ni 0.000 0.500 0.634
Ni 0.500 0.000 0.366
Ni 0.500 0.500 0.000
Sb 0.000 0.500 0.871
Sb 0.500 0.000 0.129
Sb 0.500 0.500 0.500

***

# 5
Compound: Ga4CuPd
Source: Alexandria
Functional: GGA-PBE
Structure: optimized geometry

Results
formation energy from the elements: -0.2572 eV per atom

Cell lengths 6.796, 6.796, 6.796 Å; angles 126.07, 126.07, 79.78 degrees
Sites, in units of the cell vectors:
Ga 0.024 0.524 0.807
Ga 0.217 0.024 0.500
Ga 0.283 0.783 0.807
Ga 0.476 0.283 0.500
Ga 0.524 0.717 0.500
Ga 0.717 0.217 0.193
Ga 0.783 0.976 0.500
Ga 0.976 0.476 0.193
Cu 0.000 0.000 0.000
Cu 0.500 0.500 0.000
Pd 0.250 0.250 0.000
Pd 0.750 0.750 0.000

***

# 6
Compound: La3Sm4Y
Source: Alexandria
Functional: GGA-PBE
Structure: optimized geometry

Results
formation energy from the elements: 0.0205 eV per atom

Cell lengths 5.191, 10.338, 10.372 Å; angles 90.00, 90.00, 90.00 degrees
Sites, in units of the cell vectors:
La 0.250 0.001 0.126
La 0.250 0.250 0.873
La 0.250 0.499 0.126
La 0.750 0.501 0.874
La 0.750 0.750 0.127
La 0.750 0.999 0.874
Sm 0.250 0.250 0.378
Sm 0.250 0.502 0.622
Sm 0.250 0.750 0.380
Sm 0.250 0.998 0.622
Sm 0.750 0.002 0.378
Sm 0.750 0.250 0.620
Sm 0.750 0.498 0.378
Sm 0.750 0.750 0.622
Y 0.250 0.750 0.870
Y 0.750 0.250 0.130

***

# 7
Compound: Zr2TaSb
Source: Alexandria
Functional: GGA-PBE
Structure: optimized geometry

Results
raw formation energy: 0.358 eV/atom

Cell lengths 6.317, 6.317, 6.317 Å; angles 102.44, 102.44, 124.70 degrees
Sites, in units of the cell vectors:
Zr 0.119 0.625 0.994
Zr 0.375 0.369 0.494
Zr 0.631 0.125 0.006
Zr 0.875 0.881 0.506
Ta 0.000 0.000 0.000
Ta 0.750 0.250 0.500
Sb 0.250 0.750 0.500
Sb 0.500 0.500 0.000

***

# 8
Compound: Mn2TeOs
Source: Alexandria
Functional: GGA-PBE
Structure: optimized geometry

Results
raw formation energy: 0.457 eV/atom

Cell lengths 3.117, 3.453, 5.772 Å; angles 90.00, 90.00, 90.00 degrees
Sites, in units of the cell vectors:
Mn 0.000 0.000 0.000
Mn 0.500 0.500 0.229
Te 0.500 0.500 0.751
Os 0.000 0.000 0.432

***

# 9
Compound: SrAc6Tb2
Source: Alexandria
Functional: GGA-PBE
Structure: optimized geometry

Results
formation energy from the elements: 0.4817 eV per atom

Cell lengths 6.668, 6.668, 12.328 Å; angles 90.00, 90.00, 120.00 degrees
Sites, in units of the cell vectors:
Sr 0.000 0.000 0.000
Ac 0.000 0.330 0.273
Ac 0.000 0.670 0.727
Ac 0.330 0.000 0.273
Ac 0.330 0.330 0.727
Ac 0.670 0.000 0.727
Ac 0.670 0.670 0.273
Tb 0.333 0.667 0.500
Tb 0.667 0.333 0.500

***

# 10
Compound: LaPm2Nd
Source: Alexandria
Functional: GGA-PBE
Structure: optimized geometry

Results
formation energy from the elements: -0.0047 eV per atom

Cell lengths 3.704, 3.704, 11.860 Å; angles 90.00, 90.00, 120.00 degrees
Sites, in units of the cell vectors:
La 0.000 0.000 0.000
Pm 0.333 0.667 0.251
Pm 0.667 0.333 0.749
Nd 0.000 0.000 0.500

***

# 11
Compound: GaCuRh2F
Source: Alexandria
Functional: GGA-PBE
Structure: optimized geometry

Results
raw formation energy: 0.329 eV/atom

Cell lengths 4.714, 4.714, 3.798 Å; angles 90.00, 90.00, 90.00 degrees
Sites, in units of the cell vectors:
Ga 0.000 0.000 0.000
Cu 0.500 0.500 0.500
Rh 0.000 0.500 0.000
Rh 0.500 0.000 0.000
F 0.000 0.000 0.500

***

# 12
Compound: K2Ge2Au
Source: Alexandria
Functional: GGA-PBE
Structure: optimized geometry

Results
formation energy from the elements: -0.1774 eV per atom

Cell lengths 6.761, 6.761, 11.121 Å; angles 110.45, 110.45, 40.91 degrees
Sites, in units of the cell vectors:
K 0.123 0.123 0.396
K 0.279 0.279 0.846
K 0.721 0.721 0.154
K 0.877 0.877 0.604
Ge 0.040 0.040 0.918
Ge 0.421 0.421 0.401
Ge 0.579 0.579 0.599
Ge 0.960 0.960 0.082
Au 0.449 0.449 0.180
Au 0.551 0.551 0.820